Here is a relaxed structure of KSiCl from the Alexandria database. Energies are from PBE-GGA.

Output
- excess energy over the best structure of this formula in the dataset (meV per atom) = 0
- uncorrected energy (eV for the cell shown) = -67.82
- calculated volume (Å³ per cell) = 491.77
- uncorrected formation energy (meV per atom) = -979

abc: 4.0161 4.0161 35.2067
angles: 90.00 90.00 120.00
Last column: nearest neighbours and their distance in Å.
Space group R3m (No. 160, hexagonal axes)
Symmetry-distinct sites (fractional):
K 0.0000 0.0000 0.0000 x3  3 Cl 3.08
K 0.0000 0.0000 0.2182 x3  6 Cl 3.04-3.08
Si 0.0000 0.0000 0.4085 x3  3 Si 2.42
Si 0.0000 0.0000 0.7619 x3  1 Cl 2.36, 3 Si 2.42
Cl 0.0000 0.0000 0.6089 x3  6 K 3.08
Cl 0.0000 0.0000 0.8288 x3  1 Si 2.36